## w
A plane-wave DFT calculation with PBE-GGA was carried out for a geometry-optimized ScOsNF2 structure.

Computed properties:
**Calculated density**: 6648 kg/m3
**Magnetic moment**: 0.592 μB/f.u.
**SG**: P4/mmm

Lattice parameters (Å, degrees): 4.3735 4.3735 3.7505 90.00 90.00 90.00
Closest atoms and distances in Å follow each position.
Fractional coordinates of all 5 atoms:
Sc 0.5000 0.5000 0.5000  8 F 2.88, 4 N 3.09
N 0.0000 0.0000 0.5000  2 Os 1.88
Os 0.0000 0.0000 0.0000  2 N 1.88
F 0.0000 0.5000 0.0000  2 Os 2.19
F 0.5000 0.0000 0.0000  2 Os 2.19

=====

## x
A plane-wave DFT calculation with PBE-GGA was carried out for a geometry-optimized ScOsNF2 structure.

Computed properties:
**Calculated density**: 5893 kg/m3
**Magnetic moment**: 0.000 μB/f.u.
**SG**: P4/mmm

Lattice parameters (Å, degrees): 3.7620 3.7620 5.7179 90.00 90.00 90.00
Closest atoms and distances in Å follow each position.
Fractional coordinates of all 5 atoms:
Sc 0.0000 0.0000 0.5000  4 N 2.66, 2 Os 2.86
N 0.5000 0.5000 0.5000  4 Sc 2.66
Os 0.0000 0.0000 0.0000  4 F 1.88
F 0.0000 0.5000 0.0000  2 Os 1.88
F 0.5000 0.0000 0.0000  2 Os 1.88

=====

## y
A plane-wave DFT calculation with PBE-GGA was carried out for a geometry-optimized ScOsNF2 structure.

Computed properties:
**Calculated density**: 6810 kg/m3
**Magnetic moment**: 3.451 μB/f.u.
**SG**: P4/mmm

Lattice parameters (Å, degrees): 3.8749 3.8749 4.6641 90.00 90.00 90.00
Closest atoms and distances in Å follow each position.
Fractional coordinates of all 5 atoms:
Sc 0.0000 0.0000 0.0000  4 F 1.94
N 0.0000 0.0000 0.5000  2 Sc 2.33
Os 0.5000 0.5000 0.5000  4 N 2.74, 8 F 3.03
F 0.0000 0.5000 0.0000  2 Sc 1.94
F 0.5000 0.0000 0.0000  2 Sc 1.94

=====

Energies relative to the most stable structure are w 5.4; x 52.0; y 0.0, reported in kJ/mol of atoms.

=====

## w
A plane-wave DFT calculation with PBE-GGA was carried out for a geometry-optimized SiOsN2F structure.

Computed properties:
**Calculated density**: 6980 kg/m3
**Magnetic moment**: 0.000 μB/f.u.
**SG**: P4/mmm

Lattice parameters (Å, degrees): 3.8648 3.8648 4.2259 90.00 90.00 90.00
Closest atoms and distances in Å follow each position.
Fractional coordinates of all 5 atoms:
Si 0.5000 0.5000 0.5000  4 F 2.73, 8 N 2.86
N 0.0000 0.5000 0.0000  2 Os 1.93
N 0.5000 0.0000 0.0000  2 Os 1.93
Os 0.0000 0.0000 0.0000  4 N 1.93, 2 F 2.11
F 0.0000 0.0000 0.5000  2 Os 2.11

=====

## x
A plane-wave DFT calculation with PBE-GGA was carried out for a geometry-optimized SiOsN2F structure.

Computed properties:
**Calculated density**: 7389 kg/m3
**Magnetic moment**: 0.000 μB/f.u.
**SG**: P4/mmm

Lattice parameters (Å, degrees): 3.8839 3.9530 3.8839 90.00 90.00 90.00
Closest atoms and distances in Å follow each position.
Fractional coordinates of all 5 atoms:
Si 0.5000 0.5000 0.5000  4 Os 2.75, 8 N 2.77
N 0.0000 0.0000 0.5000  2 F 1.94
N 0.5000 0.0000 0.0000  2 F 1.94
Os 0.0000 0.5000 0.0000  2 F 1.98
F 0.0000 0.0000 0.0000  4 N 1.94, 2 Os 1.98

=====

Energies relative to the most stable structure are w 0.0; x 183.2, reported in kJ/mol of atoms.

=====

## w
A plane-wave DFT calculation with PBE-GGA was carried out for a geometry-optimized SnOsN2F structure.

Computed properties:
**Calculated density**: 8316 kg/m3
**Magnetic moment**: 0.000 μB/f.u.
**SG**: P4/mmm

Lattice parameters (Å, degrees): 3.8409 3.8409 4.8177 90.00 90.00 90.00
Closest atoms and distances in Å follow each position.
Fractional coordinates of all 5 atoms:
N 0.0000 0.5000 0.0000  2 Os 1.92
N 0.5000 0.0000 0.0000  2 Os 1.92
Os 0.0000 0.0000 0.0000  4 N 1.92
Sn 0.5000 0.5000 0.5000  4 F 2.72
F 0.0000 0.0000 0.5000  2 Os 2.41

=====

## x
A plane-wave DFT calculation with PBE-GGA was carried out for a geometry-optimized SnOsN2F structure.

Computed properties:
**Calculated density**: 8649 kg/m3
**Magnetic moment**: 2.783 μB/f.u.
**SG**: P4/mmm

Lattice parameters (Å, degrees): 4.1570 4.1570 3.9545 90.00 90.00 90.00
Closest atoms and distances in Å follow each position.
Fractional coordinates of all 5 atoms:
N 0.0000 0.5000 0.0000  2 Sn 2.08
N 0.5000 0.0000 0.0000  2 Sn 2.08
Os 0.5000 0.5000 0.5000  8 N 2.87, 4 F 2.94
Sn 0.0000 0.0000 0.0000  2 F 1.98, 4 N 2.08
F 0.0000 0.0000 0.5000  2 Sn 1.98

=====

Energies relative to the most stable structure are w 0.0; x 116.6, reported in kJ/mol of atoms.

=====

## w
A plane-wave DFT calculation with PBE-GGA was carried out for a geometry-optimized TaOsNF2 structure.

Computed properties:
**Calculated density**: 10244 kg/m3
**Magnetic moment**: 2.541 μB/f.u.
**SG**: P4/mmm

Lattice parameters (Å, degrees): 4.0844 4.0844 4.1119 90.00 90.00 90.00
Closest atoms and distances in Å follow each position.
Fractional coordinates of all 5 atoms:
N 0.0000 0.0000 0.5000  2 Ta 2.06
F 0.0000 0.5000 0.0000  2 Ta 2.04
F 0.5000 0.0000 0.0000  2 Ta 2.04
Os 0.5000 0.5000 0.5000  4 N 2.89, 8 F 2.90
Ta 0.0000 0.0000 0.0000  4 F 2.04, 2 N 2.06

=====

## x
A plane-wave DFT calculation with PBE-GGA was carried out for a geometry-optimized TaOsNF2 structure.

Computed properties:
**Calculated density**: 9905 kg/m3
**Magnetic moment**: 2.124 μB/f.u.
**SG**: P4/mmm

Lattice parameters (Å, degrees): 4.3547 4.3547 3.7411 90.00 90.00 90.00
Closest atoms and distances in Å follow each position.
Fractional coordinates of all 5 atoms:
N 0.0000 0.0000 0.5000  2 Os 1.87
F 0.0000 0.5000 0.0000  2 Os 2.18
F 0.5000 0.0000 0.0000  2 Os 2.18
Os 0.0000 0.0000 0.0000  2 N 1.87
Ta 0.5000 0.5000 0.5000  8 F 2.87, 4 N 3.08

=====

Energies relative to the most stable structure are w 0.0; x 54.2, reported in kJ/mol of atoms.

=====

## w
A plane-wave DFT calculation with PBE-GGA was carried out for a geometry-optimized TaOsN2F structure.

Computed properties:
**Calculated density**: 11392 kg/m3
**Magnetic moment**: 0.003 μB/f.u.
**SG**: P4/mmm

Lattice parameters (Å, degrees): 3.8956 3.8956 4.0166 90.00 90.00 90.00
Closest atoms and distances in Å follow each position.
Fractional coordinates of all 5 atoms:
N 0.0000 0.5000 0.0000  2 Os 1.95
N 0.5000 0.0000 0.0000  2 Os 1.95
F 0.0000 0.0000 0.5000  2 Os 2.01
Os 0.0000 0.0000 0.0000  4 N 1.95, 2 F 2.01
Ta 0.5000 0.5000 0.5000  4 F 2.75, 8 N 2.80

=====

## x
A plane-wave DFT calculation with PBE-GGA was carried out for a geometry-optimized TaOsN2F structure.

Computed properties:
**Calculated density**: 11566 kg/m3
**Magnetic moment**: 0.000 μB/f.u.
**SG**: P4/mmm

Lattice parameters (Å, degrees): 4.0245 3.7069 4.0245 90.00 90.00 90.00
Closest atoms and distances in Å follow each position.
Fractional coordinates of all 5 atoms:
N 0.0000 0.0000 0.5000  2 F 2.01
N 0.5000 0.0000 0.0000  2 F 2.01
F 0.0000 0.0000 0.0000  2 Os 1.85, 4 N 2.01
Os 0.0000 0.5000 0.0000  2 F 1.85
Ta 0.5000 0.5000 0.5000  8 N 2.74, 4 Os 2.85

=====

## y
A plane-wave DFT calculation with PBE-GGA was carried out for a geometry-optimized TaOsN2F structure.

Computed properties:
**Calculated density**: 10558 kg/m3
**Magnetic moment**: 2.771 μB/f.u.
**SG**: P4/mmm

Lattice parameters (Å, degrees): 4.1042 4.1042 3.9047 90.00 90.00 90.00
Closest atoms and distances in Å follow each position.
Fractional coordinates of all 5 atoms:
N 0.0000 0.5000 0.0000  2 Ta 2.05
N 0.5000 0.0000 0.0000  2 Ta 2.05
F 0.0000 0.0000 0.5000  2 Ta 1.95
Os 0.5000 0.5000 0.5000  8 N 2.83, 4 F 2.90
Ta 0.0000 0.0000 0.0000  2 F 1.95, 4 N 2.05

=====

Energies relative to the most stable structure are w 32.9; x 142.9; y 0.0, reported in kJ/mol of atoms.

=====

## w
A plane-wave DFT calculation with PBE-GGA was carried out for a geometry-optimized TcOsN2F structure.

Computed properties:
**Calculated density**: 9068 kg/m3
**Magnetic moment**: 2.897 μB/f.u.
**SG**: P4/mmm

Lattice parameters (Å, degrees): 3.9108 3.9108 4.0138 90.00 90.00 90.00
Closest atoms and distances in Å follow each position.
Fractional coordinates of all 5 atoms:
N 0.0000 0.5000 0.0000  2 Tc 1.96
N 0.5000 0.0000 0.0000  2 Tc 1.96
Os 0.5000 0.5000 0.5000  4 F 2.77, 8 N 2.80
Tc 0.0000 0.0000 0.0000  4 N 1.96, 2 F 2.01
F 0.0000 0.0000 0.5000  2 Tc 2.01

=====

## x
A plane-wave DFT calculation with PBE-GGA was carried out for a geometry-optimized TcOsN2F structure.

Computed properties:
**Calculated density**: 8569 kg/m3
**Magnetic moment**: 4.161 μB/f.u.
**SG**: P4/mmm

Lattice parameters (Å, degrees): 3.8420 3.8420 4.4015 90.00 90.00 90.00
Closest atoms and distances in Å follow each position.
Fractional coordinates of all 5 atoms:
N 0.0000 0.5000 0.0000  2 Os 1.92
N 0.5000 0.0000 0.0000  2 Os 1.92
Os 0.0000 0.0000 0.0000  4 N 1.92
Tc 0.5000 0.5000 0.5000  4 F 2.72, 8 N 2.92
F 0.0000 0.0000 0.5000  2 Os 2.20

=====

Energies relative to the most stable structure are w 28.8; x 0.0, reported in kJ/mol of atoms.

=====

## w
A plane-wave DFT calculation with PBE-GGA was carried out for a geometry-optimized TeOsN2F structure.

Computed properties:
**Calculated density**: 8378 kg/m3
**Magnetic moment**: 3.691 μB/f.u.
**SG**: P4/mmm

Lattice parameters (Å, degrees): 4.1971 4.1971 4.1053 90.00 90.00 90.00
Closest atoms and distances in Å follow each position.
Fractional coordinates of all 5 atoms:
N 0.0000 0.5000 0.0000  2 Te 2.10
N 0.5000 0.0000 0.0000  2 Te 2.10
Te 0.0000 0.0000 0.0000  2 F 2.05, 4 N 2.10
Os 0.5000 0.5000 0.5000  8 N 2.94, 4 F 2.97
F 0.0000 0.0000 0.5000  2 Te 2.05

=====

## x
A plane-wave DFT calculation with PBE-GGA was carried out for a geometry-optimized TeOsN2F structure.

Computed properties:
**Calculated density**: 9169 kg/m3
**Magnetic moment**: 0.000 μB/f.u.
**SG**: P4/mmm

Lattice parameters (Å, degrees): 3.9592 3.9592 4.2151 90.00 90.00 90.00
Closest atoms and distances in Å follow each position.
Fractional coordinates of all 5 atoms:
N 0.0000 0.5000 0.0000  2 Os 1.98
N 0.5000 0.0000 0.0000  2 Os 1.98
Te 0.5000 0.5000 0.5000  4 F 2.80, 8 N 2.89
Os 0.0000 0.0000 0.0000  4 N 1.98, 2 F 2.11
F 0.0000 0.0000 0.5000  2 Os 2.11

=====

Energies relative to the most stable structure are w 113.0; x 0.0, reported in kJ/mol of atoms.

=====

## w
A plane-wave DFT calculation with PBE-GGA was carried out for a geometry-optimized TeOsN2F structure.

Computed properties:
**Calculated density**: 9133 kg/m3
**Magnetic moment**: 0.710 μB/f.u.
**SG**: P4/mmm

Lattice parameters (Å, degrees): 3.9926 3.9926 4.1615 90.00 90.00 90.00
Closest atoms and distances in Å follow each position.
Fractional coordinates of all 5 atoms:
N 0.0000 0.5000 0.0000  2 F 2.00
N 0.5000 0.0000 0.0000  2 F 2.00
Te 0.0000 0.0000 0.5000  2 F 2.08
Os 0.5000 0.5000 0.5000  4 Te 2.82, 8 N 2.88
F 0.0000 0.0000 0.0000  4 N 2.00, 2 Te 2.08

=====

## x
A plane-wave DFT calculation with PBE-GGA was carried out for a geometry-optimized TeOsN2F structure.

Computed properties:
**Calculated density**: 7537 kg/m3
**Magnetic moment**: 0.230 μB/f.u.
**SG**: P4/mmm

Lattice parameters (Å, degrees): 3.7526 3.7526 5.7084 90.00 90.00 90.00
Closest atoms and distances in Å follow each position.
Fractional coordinates of all 5 atoms:
N 0.0000 0.5000 0.0000  2 Os 1.88
N 0.5000 0.0000 0.0000  2 Os 1.88
Te 0.0000 0.0000 0.5000  4 F 2.65, 2 Os 2.85
Os 0.0000 0.0000 0.0000  4 N 1.88
F 0.5000 0.5000 0.5000  4 Te 2.65

=====

Energies relative to the most stable structure are w 202.0; x 0.0, reported in kJ/mol of atoms.

=====

## w
A plane-wave DFT calculation with PBE-GGA was carried out for a geometry-optimized TiOsNF2 structure.

Computed properties:
**Calculated density**: 7702 kg/m3
**Magnetic moment**: 2.788 μB/f.u.
**SG**: P4/mmm

Lattice parameters (Å, degrees): 3.8531 3.8531 4.2131 90.00 90.00 90.00
Closest atoms and distances in Å follow each position.
Fractional coordinates of all 5 atoms:
N 0.0000 0.0000 0.5000  2 Ti 2.11
F 0.0000 0.5000 0.0000  2 Ti 1.93
F 0.5000 0.0000 0.0000  2 Ti 1.93
Os 0.5000 0.5000 0.5000  4 N 2.72, 8 F 2.85
Ti 0.0000 0.0000 0.0000  4 F 1.93, 2 N 2.11

=====

## x
A plane-wave DFT calculation with PBE-GGA was carried out for a geometry-optimized TiOsNF2 structure.

Computed properties:
**Calculated density**: 6891 kg/m3
**Magnetic moment**: 2.284 μB/f.u.
**SG**: P4/mmm

Lattice parameters (Å, degrees): 4.3036 4.3036 3.7748 90.00 90.00 90.00
Closest atoms and distances in Å follow each position.
Fractional coordinates of all 5 atoms:
N 0.0000 0.0000 0.5000  2 Os 1.89
F 0.0000 0.5000 0.0000  2 Os 2.15
F 0.5000 0.0000 0.0000  2 Os 2.15
Os 0.0000 0.0000 0.0000  2 N 1.89
Ti 0.5000 0.5000 0.5000  8 F 2.86, 4 N 3.04

=====

Energies relative to the most stable structure are w 0.0; x 17.3, reported in kJ/mol of atoms.

=====

## w
A plane-wave DFT calculation with PBE-GGA was carried out for a geometry-optimized TiOsN2F structure.

Computed properties:
**Calculated density**: 8029 kg/m3
**Magnetic moment**: 2.491 μB/f.u.
**SG**: P4/mmm

Lattice parameters (Å, degrees): 4.0061 4.0061 3.6741 90.00 90.00 90.00
Closest atoms and distances in Å follow each position.
Fractional coordinates of all 5 atoms:
N 0.0000 0.5000 0.0000  2 Ti 2.00
N 0.5000 0.0000 0.0000  2 Ti 2.00
F 0.0000 0.0000 0.5000  2 Ti 1.84
Os 0.5000 0.5000 0.5000  8 N 2.72, 4 F 2.83
Ti 0.0000 0.0000 0.0000  2 F 1.84, 4 N 2.00

=====

## x
A plane-wave DFT calculation with PBE-GGA was carried out for a geometry-optimized TiOsN2F structure.

Computed properties:
**Calculated density**: 7633 kg/m3
**Magnetic moment**: 0.000 μB/f.u.
**SG**: P4/mmm

Lattice parameters (Å, degrees): 3.8387 3.8387 4.2089 90.00 90.00 90.00
Closest atoms and distances in Å follow each position.
Fractional coordinates of all 5 atoms:
N 0.0000 0.5000 0.0000  2 Os 1.92
N 0.5000 0.0000 0.0000  2 Os 1.92
F 0.0000 0.0000 0.5000  2 Os 2.10
Os 0.0000 0.0000 0.0000  4 N 1.92, 2 F 2.10
Ti 0.5000 0.5000 0.5000  4 F 2.71, 8 N 2.85

=====

Energies relative to the most stable structure are w 9.8; x 0.0, reported in kJ/mol of atoms.

=====

## w
A plane-wave DFT calculation with PBE-GGA was carried out for a geometry-optimized TlOsN2F structure.

Computed properties:
**Calculated density**: 9272 kg/m3
**Magnetic moment**: 3.539 μB/f.u.
**SG**: P4/mmm

Lattice parameters (Å, degrees): 4.2960 4.2960 4.2856 90.00 90.00 90.00
Closest atoms and distances in Å follow each position.
Fractional coordinates of all 5 atoms:
Tl 0.0000 0.0000 0.0000  2 F 2.14, 4 N 2.15
N 0.0000 0.5000 0.0000  2 Tl 2.15
N 0.5000 0.0000 0.0000  2 Tl 2.15
Os 0.5000 0.5000 0.5000  8 N 3.03, 4 F 3.04
F 0.0000 0.0000 0.5000  2 Tl 2.14

=====

## x
A plane-wave DFT calculation with PBE-GGA was carried out for a geometry-optimized TlOsN2F structure.

Computed properties:
**Calculated density**: 9592 kg/m3
**Magnetic moment**: 0.004 μB/f.u.
**SG**: P4/mmm

Lattice parameters (Å, degrees): 3.8238 3.8238 5.2289 90.00 90.00 90.00
Closest atoms and distances in Å follow each position.
Fractional coordinates of all 5 atoms:
Tl 0.5000 0.5000 0.5000  4 F 2.70
N 0.0000 0.5000 0.0000  2 Os 1.91
N 0.5000 0.0000 0.0000  2 Os 1.91
Os 0.0000 0.0000 0.0000  4 N 1.91
F 0.0000 0.0000 0.5000  2 Os 2.61, 4 Tl 2.70

=====

Energies relative to the most stable structure are w 197.2; x 0.0, reported in kJ/mol of atoms.